The following is a GGA-PBE calculation of a geometry-optimized KZnRu2 structure, from Alexandria via LeMat-Bulk.

The space group is Pmmm (No. 47) and the conventional cell measures 2.719, 4.154 and 7.319 Å, with angles of 90.00, 90.00 and 90.00 degrees. The distinct sites, in fractional coordinates, are K at (0.000, 0.000, 0.000), Zn at (0.000, 0.000, 0.500) and Ru at (0.500, 0.500, 0.341).

The formation energy is 0.7376 eV/atom. The value obtained for the raw total energy is -17.97 eV per cell. The mass density is 6.16 Mg/m³. The calculation puts the volume at 20.7 A^3/atom.